This record from Alexandria via LeMat-Bulk describes an optimized crystal structure of Ba2TmPaS6. The functional is PBE-GGA.

Unit cell a=7.216 b=7.454 c=10.345 alpha=90.00 beta=90.10 gamma=90.00
Positions (direct):
Ba  0.016  0.941  0.249
Ba  0.516  0.559  0.749
Ba  0.984  0.059  0.751
Ba  0.484  0.441  0.251
Tm  0.500  0.000  0.500
Tm  0.000  0.500  0.000
Pa  0.500  0.000  0.000
Pa  0.000  0.500  0.500
S  0.298  0.709  0.043
S  0.798  0.791  0.543
S  0.702  0.291  0.957
S  0.202  0.209  0.457
S  0.293  0.704  0.458
S  0.793  0.796  0.958
S  0.707  0.296  0.542
S  0.207  0.204  0.042
S  0.919  0.518  0.252
S  0.419  0.982  0.752
S  0.081  0.482  0.748
S  0.581  0.018  0.248

Values from the calculation:
DOS at the Fermi energy	0.0	states/eV/f.u.
magnetization	0.00	μB/cell
formation energy (no corrections)	-1.9958	eV per atom

***

This record from Alexandria via LeMat-Bulk describes an optimized crystal structure of Ba2PaVS6. The functional is PBE-GGA.

Unit cell a=7.077 b=7.057 c=9.987 alpha=90.00 beta=90.19 gamma=90.00
Last column: magnetic moment on the atom in μB.
Positions (direct):
Ba  0.005  0.973  0.249  0.01
Ba  0.505  0.527  0.749  0.01
Ba  0.995  0.027  0.751  0.01
Ba  0.495  0.473  0.251  0.01
Pa  0.500  0.000  0.000  0.19
Pa  0.000  0.500  0.500  0.19
V  0.500  0.000  0.500  1.68
V  0.000  0.500  0.000  1.68
S  0.264  0.716  0.025  -0.03
S  0.764  0.784  0.525  -0.03
S  0.736  0.284  0.975  -0.03
S  0.236  0.216  0.475  -0.03
S  0.284  0.735  0.475  -0.03
S  0.784  0.765  0.975  -0.03
S  0.716  0.265  0.525  -0.03
S  0.216  0.235  0.025  -0.03
S  0.951  0.502  0.240  -0.03
S  0.451  0.998  0.740  -0.03
S  0.049  0.498  0.760  -0.03
S  0.549  0.002  0.260  -0.03

Values from the calculation:
DOS at the Fermi energy	4.3	states/eV/f.u.
magnetization	4.00	μB/cell
formation energy (no corrections)	-1.6649	eV per atom

***

This record from Alexandria via LeMat-Bulk describes an optimized crystal structure of BaYPa2S8. The functional is PBE-GGA.

Unit cell a=6.485 b=6.477 c=8.505 alpha=90.00 beta=90.00 gamma=88.26
Positions (direct):
Ba  0.000  0.000  0.500
Y  0.000  0.000  0.000
Pa  0.500  0.500  0.752
Pa  0.500  0.500  0.248
S  0.203  0.770  0.219
S  0.682  0.695  0.000
S  0.797  0.230  0.219
S  0.797  0.230  0.781
S  0.318  0.305  0.000
S  0.203  0.770  0.781
S  0.652  0.687  0.500
S  0.348  0.313  0.500

Values from the calculation:
DOS at the Fermi energy	6.1	states/eV/f.u.
magnetization	0.00	μB/cell
formation energy (no corrections)	-1.5436	eV per atom

***

This record from Alexandria via LeMat-Bulk describes an optimized crystal structure of Ba2PaZnS6. The functional is PBE-GGA.

Unit cell a=7.152 b=7.211 c=10.082 alpha=90.00 beta=90.57 gamma=90.00
Positions (direct):
Ba  0.010  0.961  0.247
Ba  0.510  0.539  0.747
Ba  0.990  0.039  0.753
Ba  0.490  0.461  0.253
Pa  0.500  0.000  0.000
Pa  0.000  0.500  0.500
Zn  0.500  0.000  0.500
Zn  0.000  0.500  0.000
S  0.275  0.717  0.027
S  0.775  0.783  0.527
S  0.725  0.283  0.973
S  0.225  0.217  0.473
S  0.284  0.725  0.471
S  0.784  0.775  0.971
S  0.716  0.275  0.529
S  0.216  0.225  0.029
S  0.945  0.504  0.244
S  0.445  0.996  0.744
S  0.055  0.496  0.756
S  0.555  0.004  0.256

Values from the calculation:
DOS at the Fermi energy	11.2	states/eV/f.u.
magnetization	0.00	μB/cell
formation energy (no corrections)	-1.4650	eV per atom